{"formula": "ReWN2F", "functional": "PBE+U", "state": "relaxed", "e_above_lowest_polymorph_ev_per_atom": 0.335, "density_g_cm3": 10.15, "n_ef_per_ev_cell": 1.887, "volume_a3_per_atom": 13.653, "cell": [[4.0933, 0.0000, 0.0000], [0.0000, 4.0933, 0.0000], [0.0000, 0.0000, 4.0742]], "species": ["Re", "W", "N", "N", "F"], "frac_coords": [[0.0000, 0.0000, 0.0000], [0.5000, 0.5000, 0.5000], [0.0000, 0.5000, 0.5000], [0.5000, 0.0000, 0.5000], [0.5000, 0.5000, 0.0000]]}